Entry 1:
Computed, not measured: crystalline Pr3ErCd at its relaxed geometry at the PBE-GGA level of DFT.

Computed properties:
space group = Pmmn, No. 59
energy of formation = -0.0017 eV/atom
distance to the lowest polymorph of the same formula = 0.495 eV/f.u.
calculated density = 6.86 g/cm³

Structure (POSCAR):
```
Pr3ErCd
1.0
3.6631 -1.1829 0.0000
-4.7916 10.2184 0.0000
0.0000 0.0000 10.7122
Pr Cd Er
6 2 2
Direct
0.2610 0.7553 0.5016
0.7390 0.2447 0.4984
0.6535 0.4521 0.2500
0.2610 0.7553 0.9984
0.3465 0.5479 0.7500
0.7390 0.2447 0.0016
0.2107 0.2302 0.7500
0.7893 0.7698 0.2500
0.1311 0.9406 0.7500
0.8689 0.0594 0.2500
```

---

Entry 2:
Computed, not measured: crystalline Ac2GeI at its relaxed geometry at the PBE-GGA level of DFT.

Computed properties:
space group = R3m, No. 160
distance to the lowest polymorph of the same formula = 0.089 eV/f.u.
calculated density = 7.16 g/cm³

Structure (POSCAR):
```
Ac2GeI
1.0
-0.1663 3.9139 2.3460
-3.6864 2.6792 -0.2873
-4.7277 -1.8436 7.1843
Ac Ge I
2 1 1
Direct
0.0666 0.0666 0.8001
0.2670 0.2670 0.1989
0.6677 0.6677 0.9968
0.4986 0.4986 0.5041
```

---

Entry 3:
Computed, not measured: crystalline Ac2ScAg3Ge4 at its relaxed geometry at the PBE-GGA level of DFT.

Computed properties:
space group = P-4m2, No. 115
energy of formation = -0.5087 eV/atom
calculated density = 7.98 g/cm³

Structure (POSCAR):
```
Ac2ScAg3Ge4
1.0
-0.7785 3.3401 -2.9785
-3.2851 1.6265 2.6826
7.5094 6.4587 5.2800
Ag Ge Sc Ac
3 4 1 2
Direct
0.5000 0.0000 0.8729
0.0000 0.5000 0.1271
0.0000 0.0000 0.5000
0.5000 0.0000 0.6393
0.0000 0.5000 0.3607
0.0000 0.0000 0.0000
0.5000 0.5000 0.0000
0.5000 0.5000 0.5000
0.0000 0.5000 0.7630
0.5000 0.0000 0.2370
```

---

The highest calculated density belongs to which entry? Ac2ScAg3Ge4

---

Which formula does entry 3 have? Ac2ScAg3Ge4

---

Repeat the third record exactly.
Computed, not measured: crystalline Ac2ScAg3Ge4 at its relaxed geometry at the PBE-GGA level of DFT.

Computed properties:
space group = P-4m2, No. 115
energy of formation = -0.5087 eV/atom
calculated density = 7.98 g/cm³

Structure (POSCAR):
```
Ac2ScAg3Ge4
1.0
-0.7785 3.3401 -2.9785
-3.2851 1.6265 2.6826
7.5094 6.4587 5.2800
Ag Ge Sc Ac
3 4 1 2
Direct
0.5000 0.0000 0.8729
0.0000 0.5000 0.1271
0.0000 0.0000 0.5000
0.5000 0.0000 0.6393
0.0000 0.5000 0.3607
0.0000 0.0000 0.0000
0.5000 0.5000 0.0000
0.5000 0.5000 0.5000
0.0000 0.5000 0.7630
0.5000 0.0000 0.2370
```